[1]
A geometry-optimized NaAlNi structure, computed with GGA-PBE.

Its total energy is -2.629 eV per atom. The magnetic moment comes out at 0.00 μB per atom.

The structure belongs to space group F-43m (No. 216); the cell edges are 6.135, 6.135 and 6.135 Å and the angles 90.00°, 90.00° and 90.00°. Symmetry generates all atoms from Na at (0.000, 0.000, 0.000), Al at (0.250, 0.250, 0.750) and Ni at (0.250, 0.250, 0.250).

[2]
A geometry-optimized InFeTe2AuSe structure, computed with GGA-PBE.

Its total energy is -4.050 eV per atom. The magnetic moment comes out at 0.40 μB per atom.

The structure belongs to space group Cmcm (No. 63); the cell edges are 3.911, 13.906 and 10.872 Å and the angles 90.00°, 90.00° and 90.00°. Symmetry generates all atoms from In at (0.000, 0.221, 0.250), Fe at (0.000, 0.500, 0.000), Te at (0.000, 0.126, 0.001), Au at (0.000, 0.135, 0.750) and Se at (0.000, 0.490, 0.750).

[3]
A geometry-optimized PdN2 structure, computed with GGA-PBE.

Its total energy is -4.478 eV per atom.

The structure belongs to space group Fd-3m (No. 227, origin choice 2); the cell edges are 6.178, 6.178 and 6.178 Å and the angles 90.00°, 90.00° and 90.00°. Symmetry generates all atoms from Pd at (0.125, 0.125, 0.125) and N at (0.000, 0.000, 0.500).

[4]
A geometry-optimized Sc3Ni2Sn3Ir structure, computed with GGA-PBE.

Its total energy is -6.343 eV per atom. The magnetic moment comes out at 0.00 μB per atom.

The structure belongs to space group P-62m (No. 189); the cell edges are 7.3385, 7.3385 and 3.5753 Å and the angles 90.00°, 90.00° and 120.00°. Symmetry generates all atoms from Sc at (0.0000, 0.3922, 0.0000), Ni at (0.3333, 0.6667, 0.5000), Sn at (0.0000, 0.7188, 0.5000) and Ir at (0.0000, 0.0000, 0.0000).

[5]
A geometry-optimized BeCoB2 structure, computed with GGA-PBE.

Its total energy is -5.631 eV per atom. The magnetic moment comes out at 0.00 μB per atom.

The structure belongs to space group F-43m (No. 216); the cell edges are 4.844, 4.844 and 4.844 Å and the angles 90.00°, 90.00° and 90.00°. Symmetry generates all atoms from Be at (0.000, 0.000, 0.000), Co at (0.250, 0.250, 0.250), B at (0.000, 0.000, 0.500) and B at (0.250, 0.250, 0.750).

[6]
A geometry-optimized CdFeGeIr structure, computed with GGA-PBE.

The energy above the most stable polymorph in this dataset is 0 meV per atom. Its total energy is -5.432 eV per atom. The magnetic moment comes out at 0.59 μB per atom.

The structure belongs to space group F-43m (No. 216); the cell edges are 6.259, 6.259 and 6.259 Å and the angles 90.00°, 90.00° and 90.00°. Symmetry generates all atoms from Cd at (0.000, 0.000, 0.000), Fe at (0.250, 0.250, 0.750), Ge at (0.000, 0.000, 0.500) and Ir at (0.250, 0.250, 0.250).